#P
First-principles (PBE) data for a relaxed CaY3Be crystal, as listed in Alexandria via LeMat-Bulk.

The value obtained for the total magnetic moment is 0.00 μB/f.u.

It has space group Pm-3m (No. 221), with a = 5.497 Å, b = 5.497 Å, c = 5.497 Å, α = 90.00°, β = 90.00° and γ = 90.00°. The asymmetric unit holds Ca at (0.000, 0.000, 0.000), Y at (0.000, 0.000, 0.500) and Be at (0.500, 0.500, 0.500).

---

#Q
First-principles (PBE) data for a relaxed CaY3Be crystal, as listed in Alexandria via LeMat-Bulk.

The value obtained for the total magnetic moment is 1.01 μB/f.u.

It has space group Pm-3m (No. 221), with a = 5.407 Å, b = 5.407 Å, c = 5.407 Å, α = 90.00°, β = 90.00° and γ = 90.00°. The asymmetric unit holds Ca at (0.000, 0.000, 0.000), Y at (0.000, 0.500, 0.500) and Be at (0.500, 0.500, 0.500).

---

#Q is the most stable structure; the next one sits 1.190 eV/atom above it.

---

#P
First-principles (PBE) data for a relaxed CaBeZn crystal, as listed in Alexandria via LeMat-Bulk.

The value obtained for the total magnetic moment is 0.00 μB/f.u.

It has space group F-43m (No. 216), with a = 6.350 Å, b = 6.350 Å, c = 6.350 Å, α = 90.00°, β = 90.00° and γ = 90.00°. The asymmetric unit holds Ca at (0.000, 0.000, 0.000), Be at (0.250, 0.250, 0.750) and Zn at (0.000, 0.000, 0.500).

---

#Q
First-principles (PBE) data for a relaxed CaBeZn crystal, as listed in Alexandria via LeMat-Bulk.

The value obtained for the total magnetic moment is 0.00 μB/f.u.

It has space group I4mm (No. 107), with a = 3.235 Å, b = 3.235 Å, c = 10.539 Å, α = 90.00°, β = 90.00° and γ = 90.00°. The asymmetric unit holds Ca at (0.000, 0.000, 0.000), Be at (0.000, 0.000, 0.702) and Zn at (0.000, 0.000, 0.290).

---

#Q is the most stable structure; the next one sits 0.164 eV/atom above it.